5
Lattice="4.354 0.000 0.000 0.000 4.354 0.000 0.000 0.000 4.467" Properties=species:S:1:pos:R:3 comment="LaWN2O (GGA+U, relaxed)" mass_density_g_cm3=7.19 magmom_total_mub_per_fu=2.997 energy_ev_per_atom=-5.78 pbc="T T T"
N 0.000 2.177 0.000
N 2.177 0.000 0.000
O 0.000 0.000 2.234
W 2.177 2.177 2.234
La 0.000 0.000 0.000